[1]
## SmEr2Al (GGA-PBE)

Data for a relaxed SmEr2Al crystal.

Results
- Fermi-level density of states: 6.09 states/eV/f.u.
- Energy relative to the elements: -0.004 eV per atom
- ρ: 7.86 g cm⁻³
- Crystal system: cubic
- Energy above the most stable polymorph in this dataset: 0.194 eV/atom
- Spin magnetization: 4.64 Bohr magnetons per cell

Unit cell a=7.562 b=7.562 c=7.562 alpha=90.00 beta=90.00 gamma=90.00
Space group Fm-3m (No. 225)
Inequivalent atoms, fractional coordinates:
Sm1 0.000 0.000 0.000 x4
Er1 0.250 0.250 0.250 x8
Al1 0.000 0.000 0.500 x4

[2]
## FeP2PdS (GGA-PBE)

Data for a relaxed FeP2PdS crystal.

Results
- Fermi-level density of states: 4.24 states/eV/f.u.
- ρ: 5.06 g cm⁻³
- Formation energy (no corrections): 491 meV/atom
- Crystal system: tetragonal
- Energy above the most stable polymorph in this dataset: 0.000 eV/atom
- Spin magnetization: 0.27 Bohr magnetons per cell

Unit cell a=4.155 b=4.155 c=4.872 alpha=90.00 beta=90.00 gamma=90.00
Space group P4/mmm (No. 123)
Inequivalent atoms, fractional coordinates:
Fe1 0.000 0.000 0.000 x1
P1 0.000 0.500 0.000 x2
Pd1 0.500 0.500 0.500 x1
S1 0.000 0.000 0.500 x1

[3]
## KYRe2 (GGA-PBE)

Data for a relaxed KYRe2 crystal.

Results
- Fermi-level density of states: 2.74 states/eV/f.u.
- Energy relative to the elements: 1.210 eV per atom
- ρ: 10.49 g cm⁻³
- Crystal system: orthorhombic
- Energy above the most stable polymorph in this dataset: 0.688 eV/atom
- Spin magnetization: 0.02 Bohr magnetons per cell

Unit cell a=5.447 b=10.695 c=2.720 alpha=90.00 beta=90.00 gamma=90.00
Space group Cmmm (No. 65)
Inequivalent atoms, fractional coordinates:
K1 0.000 0.000 0.000 x2
Y1 0.000 0.500 0.000 x2
Re1 0.250 0.250 0.500 x4

[4]
## Tc2MoRu (GGA-PBE)

Data for a relaxed Tc2MoRu crystal.

Results
- Fermi-level density of states: 5.94 states/eV/f.u.
- Energy relative to the elements: 0.149 eV per atom
- ρ: 11.02 g cm⁻³
- Crystal system: trigonal
- Energy above the most stable polymorph in this dataset: 0.134 eV/atom
- Spin magnetization: 0.00 Bohr magnetons per cell

Unit cell a=2.7457 b=2.7457 c=27.2138 alpha=90.00 beta=90.00 gamma=120.00
Space group R-3m (No. 166, hexagonal axes)
Inequivalent atoms, fractional coordinates:
Tc1 0.0000 0.0000 0.2473 x6
Mo1 0.0000 0.0000 0.0000 x3
Ru1 0.0000 0.0000 0.5000 x3